GGA+U RbAcMn2F8, optimized geometry; final energy = -5.96 eV per atom
1.0
5.754 0.000 0.000
-2.877 4.983 0.000
0.000 0.000 8.974
F Mn Ac Rb
8 2 1 1
Direct
0.714 0.047 0.320
0.333 0.286 0.320
0.953 0.667 0.320
0.667 0.714 0.680
0.667 0.333 0.997
0.333 0.667 0.003
0.047 0.333 0.680
0.286 0.953 0.680
0.333 0.667 0.787
0.667 0.333 0.213
0.000 0.000 0.500
0.000 0.000 0.000